ZnAsF6: relaxed, PBE.

abc: 5.1054 5.1054 5.0360
angles: 96.52 96.52 120.73
Element x y z (fractional)
Zn 0.0000 0.0000 0.0000
As 0.5000 0.5000 0.5000
F 0.2530 0.2530 0.7360
F 0.4139 0.1295 0.2633
F 0.7470 0.7470 0.2640
F 0.8705 0.5861 0.7367
F 0.5861 0.8705 0.7367
F 0.1295 0.4139 0.2633

Final energy (eV per formula unit): -33.25
Energy relative to the elements, uncorrected (eV/f.u.): -16.10
Symmetry: C2/m

=====

NiSnSe2N: relaxed, PBE.

abc: 5.1187 5.1187 3.4907
angles: 90.00 90.00 90.00
Element x y z (fractional)
Ni 0.0000 0.0000 0.0000
Sn 0.5000 0.5000 0.5000
Se 0.0000 0.5000 0.0000
Se 0.5000 0.0000 0.0000
N 0.0000 0.0000 0.5000

Final energy (eV per formula unit): -23.50
Energy relative to the elements, uncorrected (eV/f.u.): 1.58
Symmetry: P4/mmm
ΔE to the lowest computed polymorph (meV per atom): 0

=====

KInGe: relaxed, PBE.

abc: 4.2009 6.3275 7.6786
angles: 90.00 77.87 90.00
Element x y z (fractional)
Ge 0.9110 0.6969 0.1224
Ge 0.9110 0.3031 0.1224
K 0.8516 0.0000 0.4999
K 0.5456 0.5000 0.7885
In 0.4480 0.0000 0.0319
In 0.3212 0.5000 0.3567

Final energy (eV per formula unit): -8.58
Symmetry: Pm
Formation energy (eV/atom): -0.04

=====

MnH6Pd8: relaxed, PBE.

abc: 5.1052 5.1096 7.5995
angles: 71.95 69.26 58.30
Each line ends with the local moment (μB).
Element x y z (fractional)
Mn 0.0000 0.0000 0.0000  4.04
H 0.9609 0.5654 0.1979  0.00
H 0.6935 0.1005 0.8101  -0.01
H 0.4725 0.7902 0.5914  0.00
H 0.5275 0.2098 0.4086  0.00
H 0.3065 0.8995 0.1899  -0.01
H 0.0391 0.4346 0.8021  0.00
Pd 0.7935 0.4265 0.6706  0.04
Pd 0.8964 0.2234 0.3256  0.05
Pd 0.5558 0.8917 0.3266  0.04
Pd 0.3370 0.3347 0.9992  0.07
Pd 0.6630 0.6653 0.0008  0.07
Pd 0.4442 0.1083 0.6734  0.04
Pd 0.1036 0.7766 0.6744  0.05
Pd 0.2065 0.5735 0.3294  0.04

Final energy (eV per formula unit): -72.52
Symmetry: P-1
ΔE to the lowest computed polymorph (meV per atom): 0

=====

TbTcN3: relaxed, PBE.

abc: 6.2781 7.3733 7.3733
angles: 82.45 73.07 73.07
Element x y z (fractional)
Tb 0.7500 0.2946 0.7054
Tb 0.2500 0.0914 0.9086
Tb 0.7500 0.9086 0.0914
Tb 0.2500 0.7054 0.2946
Tc 0.7226 0.3773 0.2033
Tc 0.2226 0.2033 0.3773
Tc 0.7774 0.7967 0.6227
Tc 0.2774 0.6227 0.7967
N 0.4240 0.3604 0.3373
N 0.6606 0.9969 0.7793
N 0.9240 0.3373 0.3604
N 0.0760 0.6627 0.6396
N 0.8418 0.8692 0.3752
N 0.1606 0.7793 0.9969
N 0.5760 0.6396 0.6627
N 0.8394 0.2207 0.0031
N 0.3394 0.0031 0.2207
N 0.3418 0.3752 0.8692
N 0.1582 0.1308 0.6248
N 0.6582 0.6248 0.1308

Final energy (eV per formula unit): -42.90
Energy relative to the elements, uncorrected (eV/f.u.): -2.93
Symmetry: C2/c

=====

Np4SeS5: relaxed, PBE.

abc: 6.6595 9.4263 8.5359
angles: 90.00 90.00 90.00
Each line ends with the local moment (μB).
Element x y z (fractional)
Np 0.9996 0.2598 0.0000  3.81
Np 0.4552 0.0000 0.2568  3.99
Np 0.4552 0.0000 0.7432  3.99
Np 0.9996 0.7402 0.0000  3.81
Np 0.0004 0.7598 0.5000  3.81
Np 0.5448 0.5000 0.2432  3.99
Np 0.5448 0.5000 0.7568  3.99
Np 0.0004 0.2402 0.5000  3.81
Se 0.1968 0.0000 0.0000  -0.09
Se 0.8032 0.5000 0.5000  -0.09
S 0.7468 0.2031 0.2470  -0.12
S 0.7468 0.2031 0.7530  -0.12
S 0.2072 0.0000 0.5000  -0.10
S 0.7468 0.7969 0.2470  -0.12
S 0.7468 0.7969 0.7530  -0.12
S 0.2532 0.7031 0.2530  -0.12
S 0.2532 0.7031 0.7470  -0.12
S 0.7928 0.5000 0.0000  -0.10
S 0.2532 0.2969 0.7470  -0.12
S 0.2532 0.2969 0.2530  -0.12

Final energy (eV per formula unit): -87.79
Energy relative to the elements, uncorrected (eV/f.u.): -11.90
Symmetry: Pmmn
ΔE to the lowest computed polymorph (meV per atom): 111

=====

Pr8Sn2Ir: relaxed, PBE.

abc: 5.1235 7.0481 10.3218
angles: 104.79 104.37 90.00
Element x y z (fractional)
Pr 0.4091 0.5374 0.8181
Pr 0.6466 0.9975 0.2932
Pr 0.7833 0.6798 0.5665
Pr 0.9837 0.2142 0.9675
Pr 0.2167 0.3202 0.4335
Pr 0.3534 0.0025 0.7068
Pr 0.5909 0.4626 0.1819
Pr 0.0163 0.7858 0.0325
Sn 0.8198 0.2500 0.6396
Sn 0.1802 0.7500 0.3604
Ir 0.5000 0.0000 0.0000

Final energy (eV per formula unit): -59.81
Symmetry: C2/m
Formation energy (eV/atom): -0.43

=====

KIn4Ag2: relaxed, PBE.

abc: 4.9080 7.6367 19.1607
angles: 90.00 90.00 90.00
Element x y z (fractional)
K 0.7500 0.9784 0.6403
K 0.2500 0.0216 0.3597
K 0.2500 0.4784 0.8597
K 0.7500 0.5216 0.1403
Ag 0.2500 0.7536 0.5387
Ag 0.7500 0.2464 0.4613
Ag 0.7500 0.2536 0.9613
Ag 0.2500 0.7464 0.0387
Ag 0.2500 0.9710 0.7796
Ag 0.7500 0.0290 0.2204
Ag 0.7500 0.4710 0.7204
Ag 0.2500 0.5290 0.2796
In 0.2500 0.2765 0.6893
In 0.7500 0.7235 0.3107
In 0.7500 0.7765 0.8107
In 0.2500 0.2235 0.1893
In 0.2500 0.6737 0.6863
In 0.7500 0.3263 0.3137
In 0.7500 0.1737 0.8137
In 0.2500 0.8263 0.1863
In 0.2500 0.1609 0.5359
In 0.7500 0.8391 0.4641
In 0.7500 0.6609 0.9641
In 0.2500 0.3391 0.0359
In 0.2500 0.4906 0.4298
In 0.7500 0.5094 0.5702
In 0.7500 0.9906 0.0702
In 0.2500 0.0094 0.9298

Final energy (eV per formula unit): -18.20
Symmetry: Pnma
ΔE to the lowest computed polymorph (meV per atom): 0
Formation energy (eV/atom): -0.06

=====

CaMgGa2Ag4: relaxed, PBE.

abc: 4.6414 4.6414 8.7894
angles: 74.69 74.69 60.00
Element x y z (fractional)
Ca 0.0000 0.0000 0.0000
Mg 0.5000 0.5000 0.5000
Ga 0.7504 0.7504 0.7489
Ga 0.2496 0.2496 0.2511
Ag 0.3931 0.3931 0.8208
Ag 0.8704 0.8704 0.3887
Ag 0.1296 0.1296 0.6113
Ag 0.6069 0.6069 0.1792

Final energy (eV per formula unit): -22.60
Symmetry: R-3m
Formation energy (eV/atom): -0.19

=====

Li6PmPd4: relaxed, PBE.

abc: 4.0490 7.2016 7.2016
angles: 120.00 90.00 90.00
Element x y z (fractional)
Li 0.0000 0.5348 0.0697
Li 0.5000 0.5858 0.7929
Li 0.0000 0.5348 0.4652
Li 0.0000 0.9303 0.4652
Li 0.5000 0.2071 0.7929
Li 0.5000 0.2071 0.4142
Pm 0.0000 0.0000 0.0000
Pd 0.5000 0.8009 0.6017
Pd 0.5000 0.3983 0.1991
Pd 0.5000 0.8009 0.1991
Pd 0.0000 0.3333 0.6667

Final energy (eV per formula unit): -41.07
Symmetry: P-6m2
Formation energy (eV/atom): -0.37

=====

Pa4Ag3S12: relaxed, PBE.

abc: 8.5964 8.5964 8.5964
angles: 109.47 109.47 109.47
Element x y z (fractional)
Pa 0.0000 0.0000 0.5000
Pa 0.5000 0.5000 0.5000
Pa 0.5000 0.0000 0.0000
Pa 0.0000 0.5000 0.0000
Ag 0.5000 0.0000 0.5000
Ag 0.5000 0.5000 0.0000
Ag 0.0000 0.5000 0.5000
S 0.6909 0.5132 0.8223
S 0.3091 0.4868 0.1777
S 0.3091 0.1314 0.8223
S 0.5132 0.8223 0.6909
S 0.8223 0.3091 0.1314
S 0.1777 0.3091 0.4868
S 0.1314 0.8223 0.3091
S 0.1777 0.6909 0.8686
S 0.6909 0.8686 0.1777
S 0.4868 0.1777 0.3091
S 0.8223 0.6909 0.5132
S 0.8686 0.1777 0.6909

Final energy (eV per formula unit): -115.87
Energy relative to the elements, uncorrected (eV/f.u.): -19.81
Symmetry: Im-3

=====

CeTmNi: relaxed, PBE.

abc: 4.7234 4.7234 4.7234
angles: 60.00 60.00 60.00
Each line ends with the local moment (μB).
Element x y z (fractional)
Ni 0.2500 0.2500 0.2500  0.00
Tm 0.0000 0.0000 0.0000  0.05
Ce 0.5000 0.5000 0.5000  0.55

Final energy (eV per formula unit): -16.41
Symmetry: F-43m
ΔE to the lowest computed polymorph (meV per atom): 195
Formation energy (eV/atom): -0.07

=====

Repeat the ninth record exactly.
CaMgGa2Ag4: relaxed, PBE.

abc: 4.6414 4.6414 8.7894
angles: 74.69 74.69 60.00
Element x y z (fractional)
Ca 0.0000 0.0000 0.0000
Mg 0.5000 0.5000 0.5000
Ga 0.7504 0.7504 0.7489
Ga 0.2496 0.2496 0.2511
Ag 0.3931 0.3931 0.8208
Ag 0.8704 0.8704 0.3887
Ag 0.1296 0.1296 0.6113
Ag 0.6069 0.6069 0.1792

Final energy (eV per formula unit): -22.60
Symmetry: R-3m
Formation energy (eV/atom): -0.19